Model a:
Compound: PrTmTl2
Source: Alexandria via LeMat-Bulk
Functional: PBE-GGA
Structure: relaxed

a = 3.825 Å, b = 3.825 Å, c = 7.734 Å
α = 90.00°, β = 90.00°, γ = 90.00°
Element x y z (fractional)
Pr: 0.000 0.000 0.000
Tm: 0.000 0.000 0.500
Tl: 0.500 0.500 0.268
Tl: 0.500 0.500 0.732

Its space group is P4/mmm.

=====

Model b:
Compound: PrTmTl2
Source: Alexandria via LeMat-Bulk
Functional: PBE-GGA
Structure: relaxed

a = 10.041 Å, b = 10.041 Å, c = 10.041 Å
α = 21.72°, β = 21.72°, γ = 21.72°
Element x y z (fractional)
Pr: 0.000 0.000 0.000
Tm: 0.500 0.500 0.500
Tl: 0.246 0.246 0.246
Tl: 0.754 0.754 0.754

Its space group is R-3m.

=====

Model c:
Compound: PrTmTl2
Source: Alexandria via LeMat-Bulk
Functional: PBE-GGA
Structure: relaxed

a = 5.442 Å, b = 5.442 Å, c = 5.442 Å
α = 60.00°, β = 60.00°, γ = 60.00°
Element x y z (fractional)
Pr: 0.000 0.000 0.000
Tm: 0.500 0.500 0.500
Tl: 0.250 0.250 0.250
Tl: 0.750 0.750 0.750

Its space group is Fm-3m.

=====

model a is preferred energetically. Next in line: 16 meV per atom higher.

=====

Model a:
Compound: Pr2TmTl2
Source: Alexandria via LeMat-Bulk
Functional: PBE-GGA
Structure: relaxed

a = 9.314 Å, b = 9.314 Å, c = 6.673 Å
α = 90.00°, β = 90.00°, γ = 148.16°
Element x y z (fractional)
Pr: 0.008 0.992 0.500
Pr: 0.202 0.798 0.956
Pr: 0.798 0.202 0.456
Pr: 0.992 0.008 0.000
Tm: 0.390 0.610 0.739
Tm: 0.610 0.390 0.239
Tl: 0.192 0.808 0.462
Tl: 0.410 0.590 0.250
Tl: 0.590 0.410 0.750
Tl: 0.808 0.192 0.962

Its space group is Cmc2_1.

=====

Model b:
Compound: Pr2TmTl2
Source: Alexandria via LeMat-Bulk
Functional: PBE-GGA
Structure: relaxed

a = 8.203 Å, b = 8.203 Å, c = 4.667 Å
α = 90.00°, β = 90.00°, γ = 90.00°
Element x y z (fractional)
Pr: 0.171 0.329 0.000
Pr: 0.329 0.829 0.000
Pr: 0.671 0.171 0.000
Pr: 0.829 0.671 0.000
Tm: 0.000 0.000 0.500
Tm: 0.500 0.500 0.500
Tl: 0.132 0.632 0.500
Tl: 0.368 0.132 0.500
Tl: 0.632 0.868 0.500
Tl: 0.868 0.368 0.500

Its space group is P4/mbm.

=====

model b is preferred energetically. Next in line: 79 meV per atom higher.